1.
DFT (PBE-GGA) results for a geometry-optimized ZrInSb2Te structure.

Output
Final energy (eV/atom): -3.676
Distance to the lowest polymorph of the same formula (meV per atom): 835
Space-group type: P4/mmm
Formation energy without anion corrections (meV/atom): 858.9

The structure in POSCAR format:
```
ZrInSb2Te
1.0
-0.8848 -5.2350 -1.2256
4.9730 -0.3247 -2.2032
2.0983 -1.5158 4.9597
In Sb Te Zr
1 2 1 1
Direct
0.0000 0.0000 0.0000 In
0.0000 0.5000 0.0000 Sb
0.5000 0.0000 0.0000 Sb
0.0000 0.0000 0.5000 Te
0.5000 0.5000 0.5000 Zr
```


2.
DFT (PBE-GGA) results for a geometry-optimized Y6Se2S3 structure.

Output
Final energy (eV/atom): -7.015
Space-group type: R-3m
Formation energy without anion corrections (meV/atom): -1730.4

The structure in POSCAR format:
```
Y6Se2S3
1.0
3.9071 0.0000 0.3873
1.9343 3.3947 0.3873
0.0195 0.0113 19.7025
S Y Se
3 6 2
Direct
0.0000 0.0000 0.0000 S
0.2789 0.2789 0.1632 S
0.7211 0.7211 0.8368 S
0.3607 0.3607 0.9180 Y
0.0812 0.0812 0.7565 Y
0.9188 0.9188 0.2435 Y
0.8096 0.8096 0.5712 Y
0.6393 0.6393 0.0820 Y
0.1904 0.1904 0.4288 Y
0.4448 0.4448 0.6656 Se
0.5552 0.5552 0.3344 Se
```


3.
DFT (PBE-GGA) results for a geometry-optimized Sm3Er3Th2 structure.

Output
Final energy (eV/atom): -5.307
Energy of formation (eV/atom): 0.029
Distance to the lowest polymorph of the same formula (meV per atom): 0
Space-group type: Immm

The structure in POSCAR format:
```
Sm3Er3Th2
1.0
5.0380 0.0000 0.0000
0.0000 5.0499 0.0000
-2.5190 -2.5250 10.1596
Sm Er Th
3 3 2
Direct
0.3722 0.3722 0.7443 Sm
0.5000 0.0000 0.0000 Sm
0.6278 0.6278 0.2557 Sm
0.0000 0.5000 0.0000 Er
0.1273 0.1273 0.2547 Er
0.8727 0.8727 0.7453 Er
0.2504 0.7504 0.5007 Th
0.7496 0.2496 0.4993 Th
```


4.
DFT (PBE-GGA) results for a geometry-optimized TeRuC3 structure.

Output
Final energy (eV/atom): -5.886
Distance to the lowest polymorph of the same formula (meV per atom): 0
Space-group type: Pm-3m
Formation energy without anion corrections (meV/atom): 2131.9

The structure in POSCAR format:
```
TeRuC3
1.0
-3.3028 -0.1238 2.3863
-0.9787 -3.6439 -1.5436
2.1799 -1.8235 2.9225
C Ru Te
3 1 1
Direct
0.5000 0.0000 0.0000 C
0.0000 0.5000 0.0000 C
0.0000 0.0000 0.5000 C
0.0000 0.0000 0.0000 Ru
0.5000 0.5000 0.5000 Te
```


5.
DFT (PBE-GGA) results for a geometry-optimized Na2CoOsS structure.

Output
Final energy (eV/atom): -4.221
Space-group type: P4/mmm
Formation energy without anion corrections (meV/atom): 799.7

The structure in POSCAR format:
```
Na2CoOsS
1.0
5.0709 0.0000 0.0000
0.0000 4.3105 0.0000
0.0000 0.0000 5.0709
Co Na Os S
1 2 1 1
Direct
0.5000 0.5000 0.5000 Co
0.0000 0.0000 0.5000 Na
0.5000 0.0000 0.0000 Na
0.0000 0.5000 0.0000 Os
0.0000 0.0000 0.0000 S
```


6.
DFT (PBE-GGA) results for a geometry-optimized Ta2PtF structure.

Output
Final energy (eV/atom): -8.422
Distance to the lowest polymorph of the same formula (meV per atom): 48
Space-group type: I-42d
Formation energy without anion corrections (meV/atom): -517.4

The structure in POSCAR format:
```
Ta2PtF
1.0
6.5056 0.0000 0.0000
0.0000 6.5056 0.0000
3.2528 3.2528 2.9716
Pt Ta F
2 4 2
Direct
0.7500 0.2500 0.5000 Pt
0.0000 0.0000 0.0000 Pt
0.1744 0.6250 0.2500 Ta
0.8750 0.8256 0.7500 Ta
0.5756 0.1250 0.2500 Ta
0.3750 0.4244 0.7500 Ta
0.5000 0.5000 0.0000 F
0.2500 0.7500 0.5000 F
```


The lowest final energy belongs to which entry? Ta2PtF


What is the formula in the fifth record? Na2CoOsS


What is the final energy in the sixth record? -8.422 eV/atom